The following is a DFT calculation (PBE) of a geometry-optimized Ac3TcPb structure.

Cell lengths 5.654, 5.654, 5.654 Å; angles 90.00, 90.00, 90.00 degrees
Positions (direct):
Ac1 0.000 0.000 0.500
Ac2 0.000 0.500 0.000
Ac3 0.500 0.000 0.000
Tc1 0.000 0.000 0.000
Pb1 0.500 0.500 0.500

Summary:
The calculated total energy is -27.1 eV per formula unit. Its symmetry is Pm-3m, No. 221. The calculation puts the density at 9062 kg/m³. As for the calculated volume: 36.14 Å³/atom.


The following is a DFT calculation (PBE) of a geometry-optimized LiCa2Zn3Cu12 structure.

Cell lengths 9.589, 9.589, 9.589 Å; angles 38.06, 38.06, 38.06 degrees
Positions (direct):
Li1 0.000 0.000 0.000
Ca1 0.348 0.348 0.348
Ca2 0.652 0.652 0.652
Zn1 0.000 0.000 0.500
Zn2 0.000 0.500 0.000
Zn3 0.500 0.000 0.000
Cu1 0.062 0.062 0.656
Cu2 0.062 0.656 0.062
Cu3 0.190 0.580 0.580
Cu4 0.344 0.938 0.938
Cu5 0.420 0.420 0.810
Cu6 0.420 0.810 0.420
Cu7 0.580 0.190 0.580
Cu8 0.580 0.580 0.190
Cu9 0.656 0.062 0.062
Cu10 0.810 0.420 0.420
Cu11 0.938 0.344 0.938
Cu12 0.938 0.938 0.344

Summary:
The calculated total energy is -56.1 eV per formula unit. Its symmetry is R-3m, No. 166. The calculation puts the density at 5774 kg/m³. As for the calculated volume: 16.71 Å³/atom.


The following is a DFT calculation (PBE) of a geometry-optimized Nd2Dy2Se5 structure.

Cell lengths 10.524, 10.524, 10.524 Å; angles 62.83, 133.61, 140.07 degrees
Positions (direct):
Nd1 0.070 0.094 0.163
Nd2 0.070 0.406 0.476
Nd3 0.930 0.594 0.524
Nd4 0.930 0.906 0.837
Dy1 0.425 0.778 0.147
Dy2 0.467 0.467 0.000
Dy3 0.467 0.967 0.500
Dy4 0.632 0.278 0.853
Se1 0.283 0.037 0.540
Se2 0.283 0.243 0.747
Se3 0.497 0.537 0.253
Se4 0.497 0.743 0.460
Se5 0.553 0.231 0.257
Se6 0.553 0.796 0.822
Se7 0.837 0.163 0.175
Se8 0.974 0.296 0.743
Se9 0.974 0.731 0.178
Se10 0.988 0.663 0.825

Summary:
The calculated total energy is -50.9 eV per formula unit. The value obtained for the energy relative to the elements, uncorrected is -1.643 eV/atom. Its symmetry is Ima2, No. 46. The calculation puts the density at 6258 kg/m³. For the energy above the most stable polymorph in this dataset, the calculation gives 118.1 meV/atom. As for the calculated volume: 29.73 Å³/atom.


Among the records above, which one has the lowest calculated total energy?
LiCa2Zn3Cu12


Repeat the second record exactly.
The following is a DFT calculation (PBE) of a geometry-optimized LiCa2Zn3Cu12 structure.

Cell lengths 9.589, 9.589, 9.589 Å; angles 38.06, 38.06, 38.06 degrees
Positions (direct):
Li1 0.000 0.000 0.000
Ca1 0.348 0.348 0.348
Ca2 0.652 0.652 0.652
Zn1 0.000 0.000 0.500
Zn2 0.000 0.500 0.000
Zn3 0.500 0.000 0.000
Cu1 0.062 0.062 0.656
Cu2 0.062 0.656 0.062
Cu3 0.190 0.580 0.580
Cu4 0.344 0.938 0.938
Cu5 0.420 0.420 0.810
Cu6 0.420 0.810 0.420
Cu7 0.580 0.190 0.580
Cu8 0.580 0.580 0.190
Cu9 0.656 0.062 0.062
Cu10 0.810 0.420 0.420
Cu11 0.938 0.344 0.938
Cu12 0.938 0.938 0.344

Summary:
The calculated total energy is -56.1 eV per formula unit. Its symmetry is R-3m, No. 166. The calculation puts the density at 5774 kg/m³. As for the calculated volume: 16.71 Å³/atom.


Among the records above, which one has the lowest calculated total energy?
LiCa2Zn3Cu12